Record 1
# TiIrRuBr2

TiIrRuBr2 after structural relaxation (PBE, Alexandria via LeMat-Bulk).

```
TiIrRuBr2
1.0
4.816 0.000 0.000
0.000 4.816 0.000
0.000 0.000 4.726
Ti Ir Ru Br
1 1 1 2
Cartesian
0.000 0.000 0.000
2.408 2.408 2.363
0.000 0.000 2.363
0.000 2.408 0.000
2.408 0.000 0.000
```

Computed properties:
E in eV/atom: -4.686
Formation energy without anion corrections in eV per atom: 1.19

=====

Record 2
# EuTmPdAu

EuTmPdAu after structural relaxation (PBE, Alexandria via LeMat-Bulk).

```
EuTmPdAu
1.0
0.000 3.588 3.588
3.588 0.000 3.588
3.588 3.588 0.000
Eu Tm Pd Au
1 1 1 1
Cartesian
0.000 0.000 0.000
3.588 3.588 3.588
1.794 1.794 1.794
5.382 5.382 5.382
```

Computed properties:
E in eV/atom: -6.561
E_form in eV/atom: -0.76

=====

Record 3
# Li2NpZnO4

Li2NpZnO4 after structural relaxation (PBE, Alexandria via LeMat-Bulk).

```
Li2NpZnO4
1.0
-2.251 2.251 4.398
2.251 -2.251 4.398
2.251 2.251 -4.398
Li Np Zn O
2 1 1 4
Cartesian
0.000 0.000 0.000
0.000 2.251 2.199
2.251 0.000 2.199
0.000 0.000 4.398
2.251 0.000 0.023
0.000 0.000 2.267
2.251 0.000 4.375
0.000 0.000 6.528
```

Computed properties:
E in eV/atom: -6.872
Formation energy without anion corrections in eV per atom: -2.14

=====

Record 4
# Tm4Pb3

Tm4Pb3 after structural relaxation (PBE, Alexandria via LeMat-Bulk).

```
Tm4Pb3
1.0
7.520 -2.201 0.000
7.520 2.201 0.000
-1.915 0.000 6.506
Tm Pb
4 3
Cartesian
0.356 0.000 2.105
4.942 0.000 1.653
8.184 0.000 4.853
12.769 0.000 4.401
2.896 0.000 4.579
7.520 0.000 0.000
10.229 0.000 1.928
```

Computed properties:
E in eV/atom: -4.325
E_form in eV/atom: -0.18

=====

Record 5
# LiYMo

LiYMo after structural relaxation (PBE, Alexandria via LeMat-Bulk).

```
LiYMo
1.0
0.000 3.156 3.156
3.156 0.000 3.156
3.156 3.156 0.000
Li Y Mo
1 1 1
Cartesian
0.000 0.000 0.000
4.735 4.735 4.735
1.578 1.578 1.578
```

Computed properties:
E in eV/atom: -5.342
E_form in eV/atom: 1.06

=====

Record 6
# Rb3GeS

Rb3GeS after structural relaxation (PBE, Alexandria via LeMat-Bulk).

```
Rb3GeS
1.0
6.386 0.000 0.000
0.000 6.386 0.000
0.000 0.000 6.386
Rb Ge S
3 1 1
Cartesian
0.000 0.000 3.193
0.000 3.193 0.000
3.193 0.000 0.000
3.193 3.193 3.193
0.000 0.000 0.000
```

Computed properties:
E in eV/atom: -2.580
Formation energy without anion corrections in eV per atom: -0.25

=====

Record 7
# SmHo2Er2Tm2

SmHo2Er2Tm2 after structural relaxation (PBE, Alexandria via LeMat-Bulk).

```
SmHo2Er2Tm2
1.0
5.562 -2.490 0.000
5.562 2.490 0.000
-1.121 0.000 7.798
Sm Ho Er Tm
1 2 2 2
Cartesian
0.000 0.000 0.000
1.106 0.000 3.350
8.898 0.000 4.448
2.218 0.000 6.678
7.786 0.000 1.120
4.442 0.000 2.236
5.561 0.000 5.561
```

Computed properties:
E in eV/atom: -4.541
E_form in eV/atom: 0.02

=====

Record 8
# HfCd3Ag

HfCd3Ag after structural relaxation (PBE, Alexandria via LeMat-Bulk).

```
HfCd3Ag
1.0
5.569 -1.572 0.000
5.569 1.572 0.000
-0.271 0.000 11.845
Hf Cd Ag
2 6 2
Cartesian
1.409 0.000 5.657
9.458 0.000 6.189
2.791 0.000 8.613
3.802 0.000 0.871
5.066 0.000 3.738
5.801 0.000 8.107
7.065 0.000 10.975
8.076 0.000 3.233
0.719 0.000 1.419
10.148 0.000 10.426
```

Computed properties:
E in eV/atom: -3.143
E_form in eV/atom: -0.03

=====

Record 9
# Na2CaLa2

Na2CaLa2 after structural relaxation (PBE, Alexandria via LeMat-Bulk).

```
Na2CaLa2
1.0
10.029 0.000 0.000
0.000 10.029 0.000
0.000 0.000 3.706
Na Ca La
4 2 4
Cartesian
1.878 3.137 0.000
3.137 8.152 0.000
6.892 1.878 0.000
8.152 6.892 0.000
0.000 0.000 1.853
5.015 5.015 1.853
1.053 6.067 1.853
3.962 1.053 1.853
6.067 8.977 1.853
8.977 3.962 1.853
```

Computed properties:
E in eV/atom: -2.571
E_form in eV/atom: 0.33

=====

Record 10
# PuZrHgAu

PuZrHgAu after structural relaxation (PBE, Alexandria via LeMat-Bulk).

```
PuZrHgAu
1.0
3.162 0.000 0.000
0.000 3.162 0.000
0.000 0.000 8.849
Pu Zr Hg Au
1 1 1 1
Cartesian
0.000 0.000 0.000
0.000 0.000 4.221
1.581 1.581 6.397
1.581 1.581 2.271
```

Computed properties:
E in eV/atom: -6.893
E_form in eV/atom: -0.28

=====

Record 11
# MnNbTlGe2

MnNbTlGe2 after structural relaxation (PBE, Alexandria via LeMat-Bulk).

```
MnNbTlGe2
1.0
5.083 0.000 0.000
0.000 5.083 0.000
0.000 0.000 5.379
Mn Nb Tl Ge
1 1 1 2
Cartesian
0.000 0.000 0.000
2.541 2.541 0.000
2.541 2.541 2.690
0.000 2.541 2.690
2.541 0.000 2.690
```

Computed properties:
E in eV/atom: -3.845
E_form in eV/atom: 2.32

=====

Record 12
# TiIn2Fe

TiIn2Fe after structural relaxation (PBE, Alexandria via LeMat-Bulk).

```
TiIn2Fe
1.0
-3.732 3.732 2.864
3.732 -3.732 2.864
3.732 3.732 -2.864
Ti In Fe
2 4 2
Cartesian
0.000 0.000 0.000
0.000 3.732 1.432
1.866 -1.687 2.148
2.044 1.866 0.716
1.866 5.419 -0.716
1.687 1.866 3.580
3.732 0.000 1.432
0.000 0.000 2.864
```

Computed properties:
E in eV/atom: -5.074
E_form in eV/atom: 0.38